# 1
Na2Be3CuAs4, relaxed, DFT PBE-GGA; energy = -3.8417 eV per atom
1.0
4.1100 0.0000 0.0000
0.0000 4.1100 0.0000
0.0000 0.0000 9.7499
Na Be Cu As
2 3 1 4
direct
0.0000 0.5000 0.2402
0.5000 0.0000 0.7598
0.0000 0.0000 0.0000
0.0000 0.5000 0.6308
0.5000 0.0000 0.3692
0.5000 0.5000 0.0000
0.0000 0.0000 0.5000
0.0000 0.5000 0.8616
0.5000 0.0000 0.1384
0.5000 0.5000 0.5000

=====

# 2
BeCuAsO4, relaxed, DFT PBE-GGA; energy = -6.0368 eV per atom; E_form (uncorrected) = -137.2 kJ/mol of atoms
1.0
-2.3219 2.3219 3.7604
2.3219 -2.3219 3.7604
2.3219 2.3219 -3.7604
Be Cu As O
1 1 1 4
direct
0.0000 0.0000 0.0000
0.7500 0.2500 0.5000
0.2500 0.7500 0.5000
0.1136 0.7068 0.0675
0.2932 0.3607 0.4067
0.6393 0.0460 0.9325
0.9540 0.8864 0.5933

=====

# 3
Be2Cu2AsO6, relaxed, DFT PBE-GGA; energy = -5.8450 eV per atom; E_form (uncorrected) = -125.0 kJ/mol of atoms
1.0
4.9467 0.0000 0.0000
-2.4733 4.2839 0.0000
0.0000 0.0000 5.6190
Be Cu As O
2 2 1 6
direct
0.3333 0.6667 0.3172
0.6667 0.3333 0.6828
0.3333 0.6667 0.7698
0.6667 0.3333 0.2302
0.0000 0.0000 0.5000
0.0504 0.7208 0.3034
0.2792 0.3296 0.3034
0.3296 0.0504 0.6966
0.6704 0.9496 0.3034
0.7208 0.6704 0.6966
0.9496 0.2792 0.6966